Computed, not measured: a relaxed KCaNF2 crystal at the GGA-PBE level of DFT.

As for the energy above the lowest structure with this stoichiometry: 870.1 meV/atom. Its uncorrected formation energy is -0.915 eV per atom. The volume is 20.82 Å³/atom. The value obtained for the total energy is -19.7 eV per cell. For the total magnetization, the calculation gives 0.40 μB per atom.

It has space group P4/mmm (No. 123), with a = 4.6290 Å, b = 4.6290 Å, c = 4.8582 Å, α = 90.00°, β = 90.00° and γ = 90.00°. Symmetry generates all atoms from K at (0.0000, 0.0000, 0.0000), Ca at (0.5000, 0.5000, 0.5000), N at (0.0000, 0.0000, 0.5000) and F at (0.0000, 0.5000, 0.0000).